# 1
! Cd2SiAg (GGA-PBE, relaxed); values from VASP
&SYSTEM
  ibrav = 0, nat = 8, ntyp = 3
/
ATOMIC_SPECIES
Cd 112.41 Cd.upf
Si 28.09 Si.upf
Ag 107.87 Ag.upf
CELL_PARAMETERS angstrom
-2.0724 2.0724 9.8203
2.0724 -2.0724 9.8203
2.0724 2.0724 -9.8203
ATOMIC_POSITIONS crystal
Cd 0.1239 0.6250 0.9989
Cd 0.3750 0.3739 0.4989
Cd 0.6261 0.1250 0.0011
Cd 0.8750 0.8761 0.5011
Si 0.0000 0.0000 0.0000
Si 0.7500 0.2500 0.5000
Ag 0.2500 0.7500 0.5000
Ag 0.5000 0.5000 0.0000
! Symmetry   No. 122
! E_tot   -2.196 eV/atom
! D(E_F)   0.4731 states/eV per atom

# 2
! Ca2TlIn (GGA-PBE, relaxed); values from VASP
&SYSTEM
  ibrav = 0, nat = 4, ntyp = 3
/
ATOMIC_SPECIES
Ca 40.08 Ca.upf
Tl 204.38 Tl.upf
In 114.82 In.upf
CELL_PARAMETERS angstrom
3.8854 0.0000 0.0000
0.0000 4.7815 0.0000
0.0000 0.0000 6.7991
ATOMIC_POSITIONS crystal
Ca 0.0000 0.0000 0.0000
Ca 0.5000 0.5000 0.3295
Tl 0.5000 0.5000 0.8002
In 0.0000 0.0000 0.5236
! Symmetry   No. 25
! Energy relative to the elements   -0.237 eV/atom
! E_tot   -2.514 eV/atom
! D(E_F)   0.6326 states/eV per atom

# 3
! CdSe5 (GGA-PBE, relaxed); values from VASP
&SYSTEM
  ibrav = 0, nat = 6, ntyp = 2
/
ATOMIC_SPECIES
Cd 112.41 Cd.upf
Se 78.96 Se.upf
CELL_PARAMETERS angstrom
6.1638 -1.9780 0.0000
6.1638 1.9780 0.0000
-4.8949 0.0000 7.3209
ATOMIC_POSITIONS crystal
Cd 0.0000 0.0000 0.0000
Se 0.0835 0.0835 0.7887
Se 0.4094 0.4094 0.1057
Se 0.4266 0.4266 0.5713
Se 0.6051 0.6051 0.4119
Se 0.7681 0.7681 0.3423
! Energy above the lowest structure with this stoichiometry   0.00 kcal/mol of atoms
! Symmetry   No. 8
! E_tot   -3.108 eV/atom
! D(E_F)   0.1919 states/eV per atom

# 4
! B2C (GGA-PBE, relaxed); values from VASP
&SYSTEM
  ibrav = 0, nat = 12, ntyp = 2
/
ATOMIC_SPECIES
B 10.81 B.upf
C 12.01 C.upf
CELL_PARAMETERS angstrom
5.7515 -1.3293 0.0000
5.7515 1.3293 0.0000
-1.0822 0.0000 5.7998
ATOMIC_POSITIONS crystal
B 0.0000 0.0000 0.0000
B 0.0029 0.0029 0.6311
B 0.2138 0.2138 0.9955
B 0.3461 0.3461 0.6520
B 0.5864 0.5864 0.5606
B 0.5973 0.5973 0.1216
B 0.6459 0.6459 0.8444
B 0.8833 0.8833 0.1553
C 0.2534 0.2534 0.4119
C 0.3223 0.3223 0.2014
C 0.6729 0.6729 0.3797
C 0.8994 0.8994 0.7657
! Energy above the lowest structure with this stoichiometry   5.83 kcal/mol of atoms
! Symmetry   No. 8
! Energy relative to the elements   0.438 eV/atom
! E_tot   -7.088 eV/atom
! D(E_F)   0.1834 states/eV per atom